# 1
Compound: LiTbHo2
Source: Alexandria
Functional: GGA-PBE
Structure: relaxed

The structure in CIF format:
```
data_LiTbHo2
_symmetry_space_group_name_H-M 'P 4/m m m'
_symmetry_Int_Tables_number 123
_symmetry_space_group_name_Hall '-P 4 2'
_cell_length_a 5.584
_cell_length_b 5.584
_cell_length_c 3.712
_cell_angle_alpha 90.00
_cell_angle_beta 90.00
_cell_angle_gamma 90.00
loop_
_atom_site_label
_atom_site_type_symbol
_atom_site_fract_x
_atom_site_fract_y
_atom_site_fract_z
Li1 Li 0.000 0.000 0.000
Tb1 Tb 0.500 0.500 0.000
Ho1 Ho 0.000 0.500 0.500
```

---

# 2
Compound: YV2CrPb
Source: Alexandria
Functional: GGA-PBE
Structure: relaxed

The structure in CIF format:
```
data_YV2CrPb
_symmetry_space_group_name_H-M 'P 4/m m m'
_symmetry_Int_Tables_number 123
_symmetry_space_group_name_Hall '-P 4 2'
_cell_length_a 4.582
_cell_length_b 4.582
_cell_length_c 5.621
_cell_angle_alpha 90.00
_cell_angle_beta 90.00
_cell_angle_gamma 90.00
loop_
_atom_site_label
_atom_site_type_symbol
_atom_site_fract_x
_atom_site_fract_y
_atom_site_fract_z
Y1 Y 0.000 0.000 0.000
V1 V 0.000 0.500 0.000
Cr1 Cr 0.500 0.500 0.500
Pb1 Pb 0.000 0.000 0.500
```

---

# 3
Compound: DyZn2Ga2
Source: Alexandria
Functional: GGA-PBE
Structure: relaxed

The structure in CIF format:
```
data_DyZn2Ga2
_symmetry_space_group_name_H-M 'P 4/n m m'
_symmetry_Int_Tables_number 129
_cell_length_a 4.159
_cell_length_b 4.159
_cell_length_c 10.627
_cell_angle_alpha 90.00
_cell_angle_beta 90.00
_cell_angle_gamma 90.00
loop_
_symmetry_equiv_pos_as_xyz
'x,y,z'
'-x,-y,-z'
'-y+1/2,x,z'
'y+1/2,-x,-z'
'-x+1/2,-y+1/2,z'
'x+1/2,y+1/2,-z'
'y,-x+1/2,z'
'-y,x+1/2,-z'
'x+1/2,-y,-z'
'-x+1/2,y,z'
'-y,-x,-z'
'y,x,z'
'-x,y+1/2,-z'
'x,-y+1/2,z'
'y+1/2,x+1/2,-z'
'-y+1/2,-x+1/2,z'
loop_
_atom_site_label
_atom_site_type_symbol
_atom_site_fract_x
_atom_site_fract_y
_atom_site_fract_z
Dy1 Dy 0.250 0.250 0.249
Zn1 Zn 0.250 0.250 0.639
Zn2 Zn 0.250 0.750 0.000
Ga1 Ga 0.250 0.250 0.863
Ga2 Ga 0.250 0.750 0.500
```

---

The energy results, record by record, are as follows: -3.76; -5.26; -3.06 eV per atom.